Entry 1:
Compound: La4AsPSe2
Source: the Alexandria database
Functional: PBE-GGA
Structure: relaxed

Geometry as CIF:
```
data_La4AsPSe2
_symmetry_space_group_name_H-M 'P 1 2/m 1'
_symmetry_Int_Tables_number 10
_symmetry_space_group_name_Hall '-P 2y'
_cell_length_a 7.4745
_cell_length_b 4.3158
_cell_length_c 7.5182
_cell_angle_alpha 90.00
_cell_angle_beta 109.38
_cell_angle_gamma 90.00
loop_
_atom_site_label
_atom_site_fract_x
_atom_site_fract_y
_atom_site_fract_z
La1 0.2410 0.0000 0.2357
La2 0.2494 0.5000 0.7613
As1 0.5000 0.0000 0.0000
P1 0.0000 0.5000 0.0000
Se1 0.0000 0.0000 0.5000
Se2 0.5000 0.5000 0.5000
```

As for the total magnetization: 0.000 μB/cell. The uncorrected formation energy comes out at -1.85 eV/atom. The crystal system is monoclinic. The calculation puts the total energy at -6.441 eV per atom.

Entry 2:
Compound: Ho12CdCu6
Source: the Alexandria database
Functional: PBE-GGA
Structure: relaxed

Geometry as CIF:
```
data_Ho12CdCu6
_symmetry_space_group_name_H-M 'I m -3'
_symmetry_Int_Tables_number 204
_symmetry_space_group_name_Hall '-I 2 2 3'
_cell_length_a 9.7920
_cell_length_b 9.7920
_cell_length_c 9.7920
_cell_angle_alpha 90.00
_cell_angle_beta 90.00
_cell_angle_gamma 90.00
loop_
_atom_site_label
_atom_site_fract_x
_atom_site_fract_y
_atom_site_fract_z
Ho1 0.0000 0.2952 0.1890
Cd1 0.0000 0.0000 0.0000
Cu1 0.0000 0.1244 0.5000
```

As for the total magnetization: 0.000 μB/cell. For the calculated formation energy, the calculation gives -17.7 kJ/mol of atoms. The crystal system is cubic. The calculation puts the total energy at -4.417 eV per atom.

Entry 3:
Compound: CsPd2Cl6
Source: the Alexandria database
Functional: PBE-GGA
Structure: relaxed

Geometry as CIF:
```
data_CsPd2Cl6
_symmetry_space_group_name_H-M 'C 1 2/c 1'
_symmetry_Int_Tables_number 15
_symmetry_space_group_name_Hall '-C 2yc'
_cell_length_a 11.5835
_cell_length_b 16.5690
_cell_length_c 6.2194
_cell_angle_alpha 90.00
_cell_angle_beta 95.17
_cell_angle_gamma 90.00
loop_
_atom_site_label
_atom_site_fract_x
_atom_site_fract_y
_atom_site_fract_z
Cs1 0.0000 0.2479 0.2500
Pd1 0.2461 0.4419 0.1301
Cl1 0.1358 0.4563 0.4286
Cl2 0.1367 0.0663 0.1475
Cl3 0.1829 0.1799 0.7356
```

As for the total magnetization: 4.304 μB/cell. The uncorrected formation energy comes out at -0.72 eV/atom. The crystal system is monoclinic. The calculation puts the total energy at -3.205 eV per atom. The energy above the most stable polymorph in this dataset comes out at 0 meV per atom.

Entry 4:
Compound: NaAlSn
Source: the Alexandria database
Functional: PBE-GGA
Structure: relaxed

Geometry as CIF:
```
data_NaAlSn
_symmetry_space_group_name_H-M 'I 4/m m m'
_symmetry_Int_Tables_number 139
_symmetry_space_group_name_Hall '-I 4 2'
_cell_length_a 10.8792
_cell_length_b 10.8792
_cell_length_c 5.8887
_cell_angle_alpha 90.00
_cell_angle_beta 90.00
_cell_angle_gamma 90.00
loop_
_atom_site_label
_atom_site_fract_x
_atom_site_fract_y
_atom_site_fract_z
Na1 0.0000 0.2315 0.0000
Al1 0.1251 0.1251 0.5000
Sn1 0.0000 0.3482 0.5000
```

As for the total magnetization: 0.000 μB/cell. For the calculated formation energy, the calculation gives 17.2 kJ/mol of atoms. The crystal system is tetragonal. The calculation puts the total energy at -2.843 eV per atom.

Entry 5:
Compound: AcTh2CrN5
Source: the Alexandria database
Functional: PBE-GGA
Structure: relaxed

Geometry as CIF:
```
data_AcTh2CrN5
_symmetry_space_group_name_H-M 'I 4/m c m'
_symmetry_Int_Tables_number 140
_symmetry_space_group_name_Hall '-I 4 2c'
_cell_length_a 6.8814
_cell_length_b 6.8814
_cell_length_c 11.3666
_cell_angle_alpha 90.00
_cell_angle_beta 90.00
_cell_angle_gamma 90.00
loop_
_atom_site_label
_atom_site_fract_x
_atom_site_fract_y
_atom_site_fract_z
Ac1 0.0000 0.0000 0.2500
Th1 0.1775 0.3225 0.0000
Cr1 0.0000 0.5000 0.2500
N1 0.0000 0.0000 0.0000
N2 0.1402 0.3598 0.3560
```

As for the total magnetization: 4.478 μB/cell. The uncorrected formation energy comes out at -1.32 eV/atom. The crystal system is tetragonal. The calculation puts the total energy at -9.124 eV per atom.

Entry 6:
Compound: Nd2ZrCd
Source: the Alexandria database
Functional: PBE-GGA
Structure: relaxed

Geometry as CIF:
```
data_Nd2ZrCd
_symmetry_space_group_name_H-M 'P 4/m m m'
_symmetry_Int_Tables_number 123
_symmetry_space_group_name_Hall '-P 4 2'
_cell_length_a 5.6745
_cell_length_b 5.6745
_cell_length_c 3.5129
_cell_angle_alpha 90.00
_cell_angle_beta 90.00
_cell_angle_gamma 90.00
loop_
_atom_site_label
_atom_site_fract_x
_atom_site_fract_y
_atom_site_fract_z
Nd1 0.0000 0.5000 0.0000
Zr1 0.0000 0.0000 0.5000
Cd1 0.5000 0.5000 0.5000
```

As for the total magnetization: 0.000 μB/cell. For the calculated formation energy, the calculation gives 0.2 kJ/mol of atoms. The crystal system is tetragonal. The calculation puts the total energy at -4.748 eV per atom. The energy above the most stable polymorph in this dataset comes out at 66 meV per atom.